Material: Ga2HPb2
Method: DFT, PBE-GGA
State: optimized geometry

abc: 4.859 4.859 11.488
angles: 90.00 90.00 90.00
Space group I4/mmm (No. 139)
Unique sites:
Ga1 0.000 0.000 0.106 (multiplicity 4)
H1 0.000 0.000 0.500 (multiplicity 2)
Pb1 0.000 0.500 0.250 (multiplicity 4)

Values from the calculation:
offset from the most stable computed form	305	meV per atom
E_tot	-2.786	eV/atom
D(E_F)	2.3	states/eV/f.u.


Material: GaHPb
Method: DFT, PBE-GGA
State: optimized geometry

abc: 7.253 4.759 7.011
angles: 90.00 90.00 90.00
Space group Pnma (No. 62)
Unique sites:
Ga1 0.091 0.250 0.021 (multiplicity 4)
H1 0.093 0.250 0.264 (multiplicity 4)
Pb1 0.161 0.250 0.557 (multiplicity 4)

Values from the calculation:
offset from the most stable computed form	118	meV per atom
E_tot	-3.155	eV/atom
D(E_F)	0.5	states/eV/f.u.


Material: Ga3HPb
Method: DFT, PBE-GGA
State: optimized geometry

abc: 4.555 4.555 4.555
angles: 90.00 90.00 90.00
Space group Pm-3m (No. 221)
Unique sites:
Ga1 0.000 0.000 0.500 (multiplicity 3)
H1 0.000 0.000 0.000 (multiplicity 1)
Pb1 0.500 0.500 0.500 (multiplicity 1)

Values from the calculation:
E_tot	-3.017	eV/atom
D(E_F)	1.9	states/eV/f.u.


Material: Ga2H2Pb
Method: DFT, PBE-GGA
State: optimized geometry

abc: 3.459 3.459 13.215
angles: 90.00 90.00 90.00
Space group I4/mmm (No. 139)
Unique sites:
Ga1 0.000 0.000 0.165 (multiplicity 4)
H1 0.000 0.500 0.250 (multiplicity 4)
Pb1 0.000 0.000 0.500 (multiplicity 2)

Values from the calculation:
E_tot	-3.011	eV/atom
D(E_F)	1.5	states/eV/f.u.


Material: GaHPb
Method: DFT, PBE-GGA
State: optimized geometry

abc: 4.216 4.216 7.493
angles: 90.00 90.00 90.00
Space group I4mm (No. 107)
Unique sites:
Ga1 0.000 0.000 0.000 (multiplicity 2)
H1 0.000 0.000 0.233 (multiplicity 2)
Pb1 0.000 0.000 0.499 (multiplicity 2)

Values from the calculation:
offset from the most stable computed form	165	meV per atom
E_tot	-3.108	eV/atom
D(E_F)	0.6	states/eV/f.u.


Material: GaHPb
Method: DFT, PBE-GGA
State: optimized geometry

abc: 7.421 4.911 7.229
angles: 90.00 90.00 90.00
Space group Pnma (No. 62)
Unique sites:
Ga1 0.000 0.000 0.000 (multiplicity 4)
H1 0.072 0.250 0.443 (multiplicity 4)
Pb1 0.135 0.750 0.373 (multiplicity 4)

Values from the calculation:
offset from the most stable computed form	304	meV per atom
E_tot	-2.968	eV/atom
D(E_F)	1.0	states/eV/f.u.


Quick rundown of calculated volume, same order as above: 271.3, 242.0, 94.5, 158.1, 133.2, 263.5 Å³/cell
Quick rundown of spin magnetization, same order as above: 0.12, 0.00, 0.00, 0.00, 0.00, 0.00 μB/atom